A geometry-optimized Na2MgGa3Sn4 structure, computed with PBE.

Lattice parameters (Å, degrees): 4.786 4.786 11.708 90.00 90.00 90.00
Fractional coordinates of all 10 atoms:
Na 0.000 0.500 0.240
Na 0.500 0.000 0.760
Mg 0.500 0.500 0.000
Ga 0.000 0.000 0.000
Ga 0.000 0.500 0.635
Ga 0.500 0.000 0.365
Sn 0.000 0.000 0.500
Sn 0.000 0.500 0.863
Sn 0.500 0.000 0.137
Sn 0.500 0.500 0.500

Properties
* calculated density: 4.67 Mg/m³
* formation energy: -92.2 meV per atom
* V: 268.1 Å³ per cell
* SG: P-4m2 (115)
* total DFT energy (no corrections): -3.02 eV/atom